(1)
VASP calculation (PBE) on a relaxed structure of Nb2FePtRh5.

- DOS at the Fermi energy: 18.60 states/eV/cell
- DFT total energy: -7.6643 eV per atom

Cell: 7.5983 7.5983 7.5983 Å, 121.65 121.65 87.16°
Closest atoms and distances in Å follow each position.
Atoms (fractional coordinates):
Nb (0.1202, 0.6202, 0.7405)  2 Rh 2.32, 1 Nb 2.52
Nb (0.3798, 0.1202, 0.5000)  2 Rh 2.32, 1 Nb 2.52
Nb (0.6202, 0.8798, 0.5000)  2 Rh 2.32, 1 Nb 2.52
Nb (0.8798, 0.3798, 0.2595)  2 Rh 2.32, 1 Nb 2.52
Fe (0.2500, 0.2500, 0.0000)  10 Rh 2.75-2.94
Fe (0.7500, 0.7500, 0.0000)  10 Rh 2.75-2.94
Pt (0.2500, 0.7500, 0.5000)  4 Rh 2.53
Pt (0.7500, 0.2500, 0.5000)  4 Rh 2.53
Rh (0.0000, 0.0000, 0.0000)  2 Fe 2.75, 4 Nb 2.95, 8 Rh 3.04
Rh (0.0742, 0.1571, 0.5000)  1 Nb 2.32, 1 Pt 2.53
Rh (0.1571, 0.6571, 0.0829)  1 Nb 2.32, 1 Pt 2.53
Rh (0.3429, 0.4258, 0.5000)  1 Nb 2.32, 1 Pt 2.53
Rh (0.4258, 0.9258, 0.0829)  1 Nb 2.32, 1 Pt 2.53
Rh (0.5000, 0.5000, 0.0000)  2 Fe 2.75, 4 Nb 2.95, 8 Rh 3.04
Rh (0.5742, 0.0742, 0.9171)  1 Nb 2.32, 1 Pt 2.53
Rh (0.6571, 0.5742, 0.5000)  1 Nb 2.32, 1 Pt 2.53
Rh (0.8429, 0.3429, 0.9171)  1 Nb 2.32, 1 Pt 2.53
Rh (0.9258, 0.8429, 0.5000)  1 Nb 2.32, 1 Pt 2.53


(2)
VASP calculation (PBE) on a relaxed structure of Sr3RhPb2.

- DOS at the Fermi energy: 14.50 states/eV/cell
- DFT total energy: -3.7591 eV per atom

Cell: 13.1549 4.8452 12.7823 Å, 90.00 90.00 90.00°
Closest atoms and distances in Å follow each position.
Atoms (fractional coordinates):
Sr (0.0622, 0.2500, 0.1174)  1 Rh 3.20, 4 Pb 3.38-3.50
Sr (0.1071, 0.7500, 0.5523)  3 Rh 3.12-3.44, 3 Pb 3.41-3.48
Sr (0.2190, 0.2500, 0.7984)  4 Pb 3.34-3.48, 2 Rh 3.36
Sr (0.2810, 0.7500, 0.2984)  4 Pb 3.34-3.48, 2 Rh 3.36
Sr (0.3929, 0.2500, 0.0523)  3 Rh 3.12-3.44, 3 Pb 3.41-3.48
Sr (0.4378, 0.7500, 0.6174)  1 Rh 3.20, 4 Pb 3.38-3.50
Sr (0.5622, 0.2500, 0.3826)  1 Rh 3.20, 4 Pb 3.38-3.50
Sr (0.6071, 0.7500, 0.9477)  3 Rh 3.12-3.44, 3 Pb 3.41-3.48
Sr (0.7190, 0.2500, 0.7016)  4 Pb 3.34-3.48, 2 Rh 3.36
Sr (0.7810, 0.7500, 0.2016)  4 Pb 3.34-3.48, 2 Rh 3.36
Sr (0.8929, 0.2500, 0.4477)  3 Rh 3.12-3.44, 3 Pb 3.41-3.48
Sr (0.9378, 0.7500, 0.8826)  1 Rh 3.20, 4 Pb 3.38-3.50
Rh (0.1149, 0.2500, 0.3618)  3 Pb 2.80-2.84, 1 Sr 3.12
Rh (0.3851, 0.7500, 0.8618)  3 Pb 2.80-2.84, 1 Sr 3.12
Rh (0.6149, 0.2500, 0.1382)  3 Pb 2.80-2.84, 1 Sr 3.12
Rh (0.8851, 0.7500, 0.6382)  3 Pb 2.80-2.84, 1 Sr 3.12
Pb (0.0272, 0.7500, 0.2988)  2 Rh 2.80
Pb (0.2116, 0.7500, 0.9938)  1 Rh 2.84
Pb (0.2884, 0.2500, 0.4938)  1 Rh 2.84
Pb (0.4728, 0.2500, 0.7988)  2 Rh 2.80
Pb (0.5272, 0.7500, 0.2012)  2 Rh 2.80
Pb (0.7116, 0.7500, 0.5062)  1 Rh 2.84
Pb (0.7884, 0.2500, 0.0062)  1 Rh 2.84
Pb (0.9728, 0.2500, 0.7012)  2 Rh 2.80


(3)
VASP calculation (PBE) on a relaxed structure of Ca2Al2Cu15.

- DOS at the Fermi energy: 8.14 states/eV/cell
- DFT total energy: -3.9619 eV per atom

Cell: 6.5371 6.5371 6.5371 Å, 82.49 82.49 82.49°
Closest atoms and distances in Å follow each position.
Atoms (fractional coordinates):
Ca (0.1498, 0.1498, 0.1498)  18 Cu 3.05-3.41, 1 Al 3.13
Ca (0.8502, 0.8502, 0.8502)  18 Cu 3.05-3.41, 1 Al 3.13
Al (0.3960, 0.3960, 0.3960)  12 Cu 2.61-2.87, 1 Al 2.65
Al (0.6040, 0.6040, 0.6040)  12 Cu 2.61-2.87, 1 Al 2.65
Cu (0.0000, 0.5000, 0.5000)  8 Cu 2.48-2.49, 2 Al 2.61
Cu (0.1560, 0.1560, 0.6513)  8 Cu 2.48-2.64, 1 Al 2.64
Cu (0.1560, 0.6513, 0.1560)  8 Cu 2.48-2.64, 1 Al 2.64
Cu (0.2041, 0.5000, 0.7959)  8 Cu 2.49-2.64
Cu (0.2041, 0.7959, 0.5000)  8 Cu 2.49-2.64
Cu (0.3487, 0.8440, 0.8440)  8 Cu 2.48-2.64, 1 Al 2.64
Cu (0.5000, 0.0000, 0.5000)  8 Cu 2.48-2.49, 2 Al 2.61
Cu (0.5000, 0.2041, 0.7959)  8 Cu 2.49-2.64
Cu (0.5000, 0.5000, 0.0000)  8 Cu 2.48-2.49, 2 Al 2.61
Cu (0.5000, 0.7959, 0.2041)  8 Cu 2.49-2.64
Cu (0.6513, 0.1560, 0.1560)  8 Cu 2.48-2.64, 1 Al 2.64
Cu (0.7959, 0.2041, 0.5000)  8 Cu 2.49-2.64
Cu (0.7959, 0.5000, 0.2041)  8 Cu 2.49-2.64
Cu (0.8440, 0.3487, 0.8440)  8 Cu 2.48-2.64, 1 Al 2.64
Cu (0.8440, 0.8440, 0.3487)  8 Cu 2.48-2.64, 1 Al 2.64


E_form: 0.269; -0.457; -0.123 (eV per atom)